Record 1
# ErScCuSe3, optimized geometry, DFT PBE-GGA
data_ErScCuSe3
_space_group_name_H-M_alt 'C m c m'
_space_group_IT_number 63
_space_group_name_Hall '-C 2c 2'
_cell_length_a 3.8232
_cell_length_b 12.9721
_cell_length_c 10.0442
_cell_angle_alpha 90.00
_cell_angle_beta 90.00
_cell_angle_gamma 90.00
loop_
_atom_site_label
_atom_site_fract_x
_atom_site_fract_y
_atom_site_fract_z
Er1 0.0000 0.2267 0.2500
Sc1 0.0000 0.0000 0.0000
Cu1 0.0000 0.4781 0.7500
Se1 0.0000 0.0995 0.7500
Se2 0.0000 0.3565 0.5649
# Raw total energy in eV/cell: -131.43
# ρ in g/cm³: 6.84
# V in Å³/atom: 20.76

***

Record 2
# Na2ScOsN6, optimized geometry, DFT PBE-GGA
data_Na2ScOsN6
_space_group_name_H-M_alt 'I 4/m'
_space_group_IT_number 87
_space_group_name_Hall '-I 4'
_cell_length_a 5.6179
_cell_length_b 5.6179
_cell_length_c 8.1410
_cell_angle_alpha 90.00
_cell_angle_beta 90.00
_cell_angle_gamma 90.00
loop_
_atom_site_label
_atom_site_fract_x
_atom_site_fract_y
_atom_site_fract_z
Na1 0.0000 0.5000 0.2500
Sc1 0.0000 0.0000 0.0000
Os1 0.0000 0.0000 0.5000
N1 0.0000 0.0000 0.2625
N2 0.1801 0.7057 0.5000
# Raw total energy in eV/cell: -128.65
# ρ in g/cm³: 4.72
# V in Å³/atom: 12.85

***

Record 3
# SmDyAg, optimized geometry, DFT PBE-GGA
data_SmDyAg
_space_group_name_H-M_alt 'F -4 3 m'
_space_group_IT_number 216
_space_group_name_Hall 'F -4 2 3'
_cell_length_a 6.9827
_cell_length_b 6.9827
_cell_length_c 6.9827
_cell_angle_alpha 90.00
_cell_angle_beta 90.00
_cell_angle_gamma 90.00
loop_
_atom_site_label
_atom_site_fract_x
_atom_site_fract_y
_atom_site_fract_z
Sm1 0.0000 0.0000 0.0000
Dy1 0.2500 0.2500 0.7500
Ag1 0.0000 0.0000 0.5000
# Energy of formation from the pure elements in meV per atom: 485
# E above lowest polymorph in meV/atom: 0
# ρ in g/cm³: 8.21
# V in Å³/atom: 28.37

***

Record 4
# GdZrCd2Cu4, optimized geometry, DFT PBE-GGA
data_GdZrCd2Cu4
_space_group_name_H-M_alt 'P 4/m m m'
_space_group_IT_number 123
_space_group_name_Hall '-P 4 2'
_cell_length_a 4.6210
_cell_length_b 4.6210
_cell_length_c 6.4507
_cell_angle_alpha 90.00
_cell_angle_beta 90.00
_cell_angle_gamma 90.00
loop_
_atom_site_label
_atom_site_fract_x
_atom_site_fract_y
_atom_site_fract_z
Gd1 0.0000 0.0000 0.0000
Zr1 0.5000 0.5000 0.5000
Cd1 0.0000 0.0000 0.5000
Cd2 0.5000 0.5000 0.0000
Cu1 0.0000 0.5000 0.2684
# Energy of formation from the pure elements in meV per atom: -179
# ρ in g/cm³: 8.77
# V in Å³/atom: 17.22

***

Record 5
# YCd2Ga, optimized geometry, DFT PBE-GGA
data_YCd2Ga
_space_group_name_H-M_alt 'F -4 3 m'
_space_group_IT_number 216
_space_group_name_Hall 'F -4 2 3'
_cell_length_a 7.0694
_cell_length_b 7.0694
_cell_length_c 7.0694
_cell_angle_alpha 90.00
_cell_angle_beta 90.00
_cell_angle_gamma 90.00
loop_
_atom_site_label
_atom_site_fract_x
_atom_site_fract_y
_atom_site_fract_z
Y1 0.0000 0.0000 0.0000
Cd1 0.0000 0.0000 0.5000
Cd2 0.2500 0.2500 0.2500
Ga1 0.2500 0.2500 0.7500
# Raw total energy in eV/cell: -49.81
# ρ in g/cm³: 7.21
# V in Å³/atom: 22.08

***

Record 6
# YErPd, optimized geometry, DFT PBE-GGA
data_YErPd
_space_group_name_H-M_alt 'P n m a'
_space_group_IT_number 62
_cell_length_a 7.0718
_cell_length_b 4.8371
_cell_length_c 8.6853
_cell_angle_alpha 90.00
_cell_angle_beta 90.00
_cell_angle_gamma 90.00
loop_
_space_group_symop_operation_xyz
'x,y,z'
'-x,-y,-z'
'-x+1/2,-y,z+1/2'
'x+1/2,y,-z+1/2'
'x+1/2,-y+1/2,-z+1/2'
'-x+1/2,y+1/2,z+1/2'
'-x,y+1/2,-z'
'x,-y+1/2,z'
loop_
_atom_site_label
_atom_site_fract_x
_atom_site_fract_y
_atom_site_fract_z
Y1 0.0158 0.2500 0.1739
Er1 0.1453 0.2500 0.5788
Pd1 0.2464 0.2500 0.9042
# Energy of formation from the pure elements in meV per atom: -647
# E above lowest polymorph in meV/atom: 0
# ρ in g/cm³: 8.11
# V in Å³/atom: 24.76

***

Record 7
# LuGaCoHg, optimized geometry, DFT PBE-GGA
data_LuGaCoHg
_space_group_name_H-M_alt 'F -4 3 m'
_space_group_IT_number 216
_space_group_name_Hall 'F -4 2 3'
_cell_length_a 6.5853
_cell_length_b 6.5853
_cell_length_c 6.5853
_cell_angle_alpha 90.00
_cell_angle_beta 90.00
_cell_angle_gamma 90.00
loop_
_atom_site_label
_atom_site_fract_x
_atom_site_fract_y
_atom_site_fract_z
Lu1 0.0000 0.0000 0.0000
Ga1 0.0000 0.0000 0.5000
Co1 0.2500 0.2500 0.7500
Hg1 0.2500 0.2500 0.2500
# E above lowest polymorph in meV/atom: 53
# ρ in g/cm³: 11.73
# V in Å³/atom: 17.85

***

Record 8
# Ta2AgSe5, optimized geometry, DFT PBE-GGA
data_Ta2AgSe5
_space_group_name_H-M_alt 'C m c m'
_space_group_IT_number 63
_space_group_name_Hall '-C 2c 2'
_cell_length_a 3.5634
_cell_length_b 14.0561
_cell_length_c 15.8728
_cell_angle_alpha 90.00
_cell_angle_beta 90.00
_cell_angle_gamma 90.00
loop_
_atom_site_label
_atom_site_fract_x
_atom_site_fract_y
_atom_site_fract_z
Ta1 0.0000 0.2020 0.0992
Ag1 0.0000 0.3543 0.7500
Se1 0.0000 0.1658 0.5644
Se2 0.0000 0.2886 0.2500
Se3 0.0000 0.4329 0.6056
# Raw total energy in eV/cell: -193.63
# ρ in g/cm³: 7.22
# V in Å³/atom: 24.84

***

Record 9
# SrLuAuSe3, optimized geometry, DFT PBE-GGA
data_SrLuAuSe3
_space_group_name_H-M_alt 'C 1 2/m 1'
_space_group_IT_number 12
_cell_length_a 18.1464
_cell_length_b 4.0444
_cell_length_c 8.4519
_cell_angle_alpha 90.00
_cell_angle_beta 100.96
_cell_angle_gamma 90.00
loop_
_space_group_symop_operation_xyz
'x,y,z'
'-x,-y,-z'
'-x,y,-z'
'x,-y,z'
'x+1/2,y+1/2,z'
'-x+1/2,-y+1/2,-z'
'-x+1/2,y+1/2,-z'
'x+1/2,-y+1/2,z'
loop_
_atom_site_label
_atom_site_fract_x
_atom_site_fract_y
_atom_site_fract_z
Sr1 0.1284 0.0000 0.0780
Lu1 0.1651 0.0000 0.5920
Au1 0.0449 0.5000 0.7156
Se1 0.0000 0.0000 0.5000
Se2 0.0000 0.5000 0.0000
Se3 0.1753 0.5000 0.3669
Se4 0.1882 0.5000 0.8332
# E above lowest polymorph in meV/atom: 41
# ρ in g/cm³: 7.60
# V in Å³/atom: 25.37

***

Record 10
# YHgSeO, optimized geometry, DFT PBE-GGA
data_YHgSeO
_space_group_name_H-M_alt 'P m c 21'
_space_group_IT_number 26
_cell_length_a 4.7178
_cell_length_b 8.9554
_cell_length_c 5.4807
_cell_angle_alpha 90.00
_cell_angle_beta 90.00
_cell_angle_gamma 90.00
loop_
_space_group_symop_operation_xyz
'x,y,z'
'-x,-y,z+1/2'
'-x,y,z'
'x,-y,z+1/2'
loop_
_atom_site_label
_atom_site_fract_x
_atom_site_fract_y
_atom_site_fract_z
Y1 0.0000 0.1346 0.0000
Hg1 0.5000 0.3073 0.5809
Se1 0.5000 0.3082 0.0860
O1 0.0000 0.0820 0.6323
# E above lowest polymorph in meV/atom: 268
# ρ in g/cm³: 5.51
# V in Å³/atom: 28.94

***

Record 11
# LuBeSnIr, optimized geometry, DFT PBE-GGA
data_LuBeSnIr
_space_group_name_H-M_alt 'F -4 3 m'
_space_group_IT_number 216
_space_group_name_Hall 'F -4 2 3'
_cell_length_a 6.5711
_cell_length_b 6.5711
_cell_length_c 6.5711
_cell_angle_alpha 90.00
_cell_angle_beta 90.00
_cell_angle_gamma 90.00
loop_
_atom_site_label
_atom_site_fract_x
_atom_site_fract_y
_atom_site_fract_z
Lu1 0.0000 0.0000 0.0000
Be1 0.0000 0.0000 0.5000
Sn1 0.2500 0.2500 0.2500
Ir1 0.2500 0.2500 0.7500
# E above lowest polymorph in meV/atom: 206
# ρ in g/cm³: 11.59
# V in Å³/atom: 17.73

***

Record 12
# TmAg3Pt4O12, optimized geometry, DFT PBE-GGA
data_TmAg3Pt4O12
_space_group_name_H-M_alt 'I m -3'
_space_group_IT_number 204
_space_group_name_Hall '-I 2 2 3'
_cell_length_a 7.7321
_cell_length_b 7.7321
_cell_length_c 7.7321
_cell_angle_alpha 90.00
_cell_angle_beta 90.00
_cell_angle_gamma 90.00
loop_
_atom_site_label
_atom_site_fract_x
_atom_site_fract_y
_atom_site_fract_z
Tm1 0.0000 0.0000 0.0000
Ag1 0.0000 0.0000 0.5000
Pt1 0.2500 0.2500 0.2500
O1 0.0000 0.1687 0.2769
# Raw total energy in eV/cell: -219.47
# ρ in g/cm³: 10.52
# V in Å³/atom: 11.56

***

Record 13
# NaHfAg3O4, optimized geometry, DFT PBE-GGA
data_NaHfAg3O4
_space_group_name_H-M_alt 'P -4 3 m'
_space_group_IT_number 215
_space_group_name_Hall 'P -4 2 3'
_cell_length_a 5.5627
_cell_length_b 5.5627
_cell_length_c 5.5627
_cell_angle_alpha 90.00
_cell_angle_beta 90.00
_cell_angle_gamma 90.00
loop_
_atom_site_label
_atom_site_fract_x
_atom_site_fract_y
_atom_site_fract_z
Na1 0.0000 0.0000 0.0000
Hf1 0.5000 0.5000 0.5000
Ag1 0.0000 0.5000 0.5000
O1 0.2907 0.2907 0.2907
# Raw total energy in eV/cell: -49.48
# ρ in g/cm³: 5.68
# V in Å³/atom: 19.13

***

Record 14
# PaAlB, optimized geometry, DFT PBE-GGA
data_PaAlB
_space_group_name_H-M_alt 'F -4 3 m'
_space_group_IT_number 216
_space_group_name_Hall 'F -4 2 3'
_cell_length_a 5.9331
_cell_length_b 5.9331
_cell_length_c 5.9331
_cell_angle_alpha 90.00
_cell_angle_beta 90.00
_cell_angle_gamma 90.00
loop_
_atom_site_label
_atom_site_fract_x
_atom_site_fract_y
_atom_site_fract_z
Pa1 0.0000 0.0000 0.0000
Al1 0.0000 0.0000 0.5000
B1 0.2500 0.2500 0.7500
# E above lowest polymorph in meV/atom: 0
# ρ in g/cm³: 8.55
# V in Å³/atom: 17.40

***

Record 15
# TbErTe2, optimized geometry, DFT PBE-GGA
data_TbErTe2
_space_group_name_H-M_alt 'P -3 m 1'
_space_group_IT_number 164
_space_group_name_Hall '-P 3 2"'
_cell_length_a 4.1960
_cell_length_b 4.1960
_cell_length_c 7.6588
_cell_angle_alpha 90.00
_cell_angle_beta 90.00
_cell_angle_gamma 120.00
loop_
_atom_site_label
_atom_site_fract_x
_atom_site_fract_y
_atom_site_fract_z
Tb1 0.0000 0.0000 0.0000
Er1 0.0000 0.0000 0.5000
Te1 0.3333 0.6667 0.2543
# E above lowest polymorph in meV/atom: 0
# ρ in g/cm³: 8.27
# V in Å³/atom: 29.19

***

Record 16
# CsYTh, optimized geometry, DFT PBE-GGA
data_CsYTh
_space_group_name_H-M_alt 'F -4 3 m'
_space_group_IT_number 216
_space_group_name_Hall 'F -4 2 3'
_cell_length_a 8.3677
_cell_length_b 8.3677
_cell_length_c 8.3677
_cell_angle_alpha 90.00
_cell_angle_beta 90.00
_cell_angle_gamma 90.00
loop_
_atom_site_label
_atom_site_fract_x
_atom_site_fract_y
_atom_site_fract_z
Cs1 0.0000 0.0000 0.0000
Y1 0.2500 0.2500 0.2500
Th1 0.0000 0.0000 0.5000
# E above lowest polymorph in meV/atom: 0
# ρ in g/cm³: 5.15
# V in Å³/atom: 48.82

***

Record 17
# NaTmTeS, optimized geometry, DFT PBE-GGA
data_NaTmTeS
_space_group_name_H-M_alt 'R 3 m'
_space_group_IT_number 160
_space_group_name_Hall 'R 3 -2"'
_cell_length_a 4.1342
_cell_length_b 4.1342
_cell_length_c 21.4602
_cell_angle_alpha 90.00
_cell_angle_beta 90.00
_cell_angle_gamma 120.00
loop_
_atom_site_label
_atom_site_fract_x
_atom_site_fract_y
_atom_site_fract_z
Na1 0.0000 0.0000 0.0000
Tm1 0.0000 0.0000 0.4822
Te1 0.0000 0.0000 0.2355
S1 0.0000 0.0000 0.7517
# Raw total energy in eV/cell: -57.62
# ρ in g/cm³: 5.51
# V in Å³/atom: 26.47

***

Record 18
# HfAl2Cd, optimized geometry, DFT PBE-GGA
data_HfAl2Cd
_space_group_name_H-M_alt 'F -4 3 m'
_space_group_IT_number 216
_space_group_name_Hall 'F -4 2 3'
_cell_length_a 6.7405
_cell_length_b 6.7405
_cell_length_c 6.7405
_cell_angle_alpha 90.00
_cell_angle_beta 90.00
_cell_angle_gamma 90.00
loop_
_atom_site_label
_atom_site_fract_x
_atom_site_fract_y
_atom_site_fract_z
Hf1 0.0000 0.0000 0.0000
Al1 0.0000 0.0000 0.5000
Al2 0.2500 0.2500 0.2500
Cd1 0.2500 0.2500 0.7500
# Raw total energy in eV/cell: -70.59
# ρ in g/cm³: 7.48
# V in Å³/atom: 19.14

***

Record 19
# Er3Zr3Te2Ir, optimized geometry, DFT PBE-GGA
data_Er3Zr3Te2Ir
_space_group_name_H-M_alt 'P -6 2 m'
_space_group_IT_number 189
_space_group_name_Hall 'P -6 -2'
_cell_length_a 8.0698
_cell_length_b 8.0698
_cell_length_c 3.8245
_cell_angle_alpha 90.00
_cell_angle_beta 90.00
_cell_angle_gamma 120.00
loop_
_atom_site_label
_atom_site_fract_x
_atom_site_fract_y
_atom_site_fract_z
Er1 0.0000 0.3980 0.0000
Zr1 0.0000 0.7585 0.5000
Te1 0.3333 0.6667 0.5000
Ir1 0.0000 0.0000 0.0000
# E above lowest polymorph in meV/atom: 0
# ρ in g/cm³: 9.41
# V in Å³/atom: 23.97

***

Record 20
# NdDyZn2Pb2, optimized geometry, DFT PBE-GGA
data_NdDyZn2Pb2
_space_group_name_H-M_alt 'P 63/m m c'
_space_group_IT_number 194
_space_group_name_Hall '-P 6c 2c'
_cell_length_a 4.6225
_cell_length_b 4.6225
_cell_length_c 16.3197
_cell_angle_alpha 90.00
_cell_angle_beta 90.00
_cell_angle_gamma 120.00
loop_
_atom_site_label
_atom_site_fract_x
_atom_site_fract_y
_atom_site_fract_z
Nd1 0.0000 0.0000 0.0000
Dy1 0.0000 0.0000 0.2500
Zn1 0.3333 0.6667 0.1662
Pb1 0.3333 0.6667 0.6144
# E above lowest polymorph in meV/atom: 0
# ρ in g/cm³: 9.37
# V in Å³/atom: 25.17